Material: LaZr2As
Method: DFT, PBE
State: optimized geometry

Values from the calculation:
* E_form: -0.49 eV/atom
* total magnetization: 0.00 μB/atom

Lattice parameters (Å, degrees): 3.593 3.593 7.650 90.00 90.00 90.00
Atoms (fractional coordinates):
As (0.000, 0.000, 0.444)
Zr (0.000, 0.000, 0.047)
Zr (0.500, 0.500, 0.289)
La (0.500, 0.500, 0.720)